[1]
This record from the Alexandria database describes a geometry-optimized NaNbNF2 structure. The functional is PBE.

Summary:
- E (eV/atom) = -5.092
- ΔE_f (raw) (kcal/mol of atoms) = -9.24

Structure (CIF):
```
data_NaNbNF2
_space_group_name_H-M_alt 'P 4/m m m'
_space_group_IT_number 123
_space_group_name_Hall '-P 4 2'
_cell_length_a 3.676
_cell_length_b 3.676
_cell_length_c 4.556
_cell_angle_alpha 90.00
_cell_angle_beta 90.00
_cell_angle_gamma 90.00
loop_
_atom_site_label
_atom_site_type_symbol
_atom_site_fract_x
_atom_site_fract_y
_atom_site_fract_z
Na1 Na 0.000 0.000 0.000
Nb1 Nb 0.500 0.500 0.500
N1 N 0.000 0.000 0.500
F1 F 0.000 0.500 0.000
```

=====

[2]
This record from the Alexandria database describes a geometry-optimized YTl2IrBr structure. The functional is PBE.

Summary:
- E (eV/atom) = -3.812
- ΔE_f (raw) (kcal/mol of atoms) = 12.31

Structure (CIF):
```
data_YTl2IrBr
_space_group_name_H-M_alt 'P 4/m m m'
_space_group_IT_number 123
_space_group_name_Hall '-P 4 2'
_cell_length_a 6.305
_cell_length_b 6.305
_cell_length_c 4.954
_cell_angle_alpha 90.00
_cell_angle_beta 90.00
_cell_angle_gamma 90.00
loop_
_atom_site_label
_atom_site_type_symbol
_atom_site_fract_x
_atom_site_fract_y
_atom_site_fract_z
Y1 Y 0.000 0.000 0.000
Tl1 Tl 0.000 0.500 0.000
Ir1 Ir 0.000 0.000 0.500
Br1 Br 0.500 0.500 0.500
```

=====

[3]
This record from the Alexandria database describes a geometry-optimized Nd5Er3H12 structure. The functional is PBE.

Summary:
- E (eV/atom) = -4.311

Structure (CIF):
```
data_Nd5Er3H12
_space_group_name_H-M_alt 'I a -3 d'
_space_group_IT_number 230
_space_group_name_Hall '-I 4bd 2c 3'
_cell_length_a 13.365
_cell_length_b 13.365
_cell_length_c 13.365
_cell_angle_alpha 90.00
_cell_angle_beta 90.00
_cell_angle_gamma 90.00
loop_
_atom_site_label
_atom_site_type_symbol
_atom_site_fract_x
_atom_site_fract_y
_atom_site_fract_z
Nd1 Nd 0.000 0.000 0.000
Nd2 Nd 0.000 0.250 0.375
Er1 Er 0.000 0.250 0.125
H1 H 0.003 0.071 0.159
```